6
Lattice="4.667 0.002 0.000 -2.335 4.495 0.000 0.000 0.000 4.579" Properties=species:S:1:pos:R:3 comment="GGA+U CaNiO, optimized geometry" total_energy_ev_per_atom=-4.3657 spacegroup="Cmcm (63)" pbc="T T T"
Ni 3.671 0.689 4.085
Ni 3.671 0.690 1.796
Ca -0.999 3.465 0.653
Ca 1.335 2.409 2.942
O 1.335 3.544 0.653
O -0.999 2.330 2.943